# 1
Material: K2LaW
Method: DFT, PBE
State: relaxed

CIF file:
```
data_K2LaW
_chemical_formula_sum 'K4 La2 W2'
_space_group_name_H-M_alt 'I 4/m m m'
_space_group_IT_number 139
_space_group_name_Hall '-I 4 2'
_cell_length_a 4.561
_cell_length_b 4.561
_cell_length_c 13.301
_cell_angle_alpha 90.00
_cell_angle_beta 90.00
_cell_angle_gamma 90.00
loop_
_atom_site_label
_atom_site_type_symbol
_atom_site_fract_x
_atom_site_fract_y
_atom_site_fract_z
K1 K 0.000 0.500 0.250
La1 La 0.000 0.000 0.000
W1 W 0.000 0.000 0.500
```

Computed properties:
- crystal system = tetragonal
- theoretical density (g/cm3) = 4.81
- ΔH_f (0 K) (kJ/mol of atoms) = 128.6

# 2
Material: TlZnSnSb
Method: DFT, PBE
State: relaxed

CIF file:
```
data_TlZnSnSb
_chemical_formula_sum 'Tl4 Zn4 Sn4 Sb4'
_space_group_name_H-M_alt 'F -4 3 m'
_space_group_IT_number 216
_space_group_name_Hall 'F -4 2 3'
_cell_length_a 7.567
_cell_length_b 7.567
_cell_length_c 7.567
_cell_angle_alpha 90.00
_cell_angle_beta 90.00
_cell_angle_gamma 90.00
loop_
_atom_site_label
_atom_site_type_symbol
_atom_site_fract_x
_atom_site_fract_y
_atom_site_fract_z
Tl1 Tl 0.000 0.000 0.000
Zn1 Zn 0.250 0.250 0.250
Sn1 Sn 0.000 0.000 0.500
Sb1 Sb 0.250 0.250 0.750
```

Computed properties:
- crystal system = cubic
- theoretical density (g/cm3) = 7.82
- uncorrected formation energy (meV per atom) = 185

# 3
Material: Sc4MnSe
Method: DFT, PBE
State: relaxed

CIF file:
```
data_Sc4MnSe
_chemical_formula_sum 'Sc16 Mn4 Se4'
_space_group_name_H-M_alt 'F -4 3 m'
_space_group_IT_number 216
_space_group_name_Hall 'F -4 2 3'
_cell_length_a 8.198
_cell_length_b 8.198
_cell_length_c 8.198
_cell_angle_alpha 90.00
_cell_angle_beta 90.00
_cell_angle_gamma 90.00
loop_
_atom_site_label
_atom_site_type_symbol
_atom_site_fract_x
_atom_site_fract_y
_atom_site_fract_z
Sc1 Sc 0.123 0.123 0.377
Mn1 Mn 0.250 0.250 0.750
Se1 Se 0.000 0.000 0.000
```

Computed properties:
- crystal system = cubic
- theoretical density (g/cm3) = 3.78
- uncorrected formation energy (meV per atom) = 376

# 4
Material: Pm6Bi2Te3I
Method: DFT, PBE
State: relaxed

CIF file:
```
data_Pm6Bi2Te3I
_chemical_formula_sum 'Pm12 Bi4 Te6 I2'
_space_group_name_H-M_alt 'C 1 2/m 1'
_space_group_IT_number 12
_space_group_name_Hall '-C 2y'
_cell_length_a 19.775
_cell_length_b 4.526
_cell_length_c 9.027
_cell_angle_alpha 90.00
_cell_angle_beta 103.10
_cell_angle_gamma 90.00
loop_
_atom_site_label
_atom_site_type_symbol
_atom_site_fract_x
_atom_site_fract_y
_atom_site_fract_z
Pm1 Pm 0.002 0.000 0.277
Pm2 Pm 0.167 0.500 0.586
Pm3 Pm 0.180 0.500 0.089
Bi1 Bi 0.166 0.000 0.331
Te1 Te 0.000 0.500 0.500
Te2 Te 0.159 0.000 0.834
I1 I 0.000 0.500 0.000
```

Computed properties:
- crystal system = monoclinic
- theoretical density (g/cm3) = 7.59
- uncorrected formation energy (meV per atom) = -1160